[1]
{
  "formula": "ZrAg2Ir",
  "functional": "GGA-PBE",
  "state": "relaxed",
  "space_group": "C2/m (12)",
  "m_tot_mub_per_cell": 0.00,
  "dos_at_fermi_per_ev_atom": 0.70,
  "formation_enthalpy_0k_ev_per_atom": 0.002,
  "lattice": [[2.740, -5.137, 0.000], [2.740, 5.137, 0.000], [-1.674, 0.000, 2.604]],
  "species": ["Zr", "Ag", "Ag", "Ir"],
  "frac_coords": [[0.000, 0.000, 0.000], [0.000, 0.500, 0.500], [0.500, 0.000, 0.500], [0.500, 0.500, 0.000]]
}



[2]
{
  "formula": "ZrAgIr2",
  "functional": "GGA-PBE",
  "state": "relaxed",
  "space_group": "R3m (160)",
  "m_tot_mub_per_cell": 0.00,
  "dos_at_fermi_per_ev_atom": 1.32,
  "formation_enthalpy_0k_ev_per_atom": 0.135,
  "lattice": [[1.419, 0.819, 9.664], [-1.419, 0.819, 9.664], [0.000, -1.638, 9.664]],
  "species": ["Zr", "Ag", "Ir", "Ir"],
  "frac_coords": [[0.000, 0.000, 0.000], [0.758, 0.758, 0.758], [0.249, 0.249, 0.249], [0.508, 0.508, 0.508]]
}



[3]
{
  "formula": "ZrAg2Ir",
  "functional": "GGA-PBE",
  "state": "relaxed",
  "space_group": "I-42d (122)",
  "m_tot_mub_per_cell": 0.00,
  "dos_at_fermi_per_ev_atom": 0.46,
  "formation_enthalpy_0k_ev_per_atom": 0.029,
  "lattice": [[-1.918, 1.918, 10.400], [1.918, -1.918, 10.400], [1.918, 1.918, -10.400]],
  "species": ["Zr", "Zr", "Ag", "Ag", "Ag", "Ag", "Ir", "Ir"],
  "frac_coords": [[0.000, 0.000, 0.000], [0.750, 0.250, 0.500], [0.135, 0.625, 0.010], [0.375, 0.385, 0.510], [0.615, 0.125, 0.990], [0.875, 0.865, 0.490], [0.250, 0.750, 0.500], [0.500, 0.500, 0.000]]
}



[4]
{
  "formula": "ZrAg2Ir",
  "functional": "GGA-PBE",
  "state": "relaxed",
  "space_group": "R-3m (166)",
  "m_tot_mub_per_cell": 0.35,
  "dos_at_fermi_per_ev_atom": 0.85,
  "formation_enthalpy_0k_ev_per_atom": 0.252,
  "lattice": [[1.430, 0.826, 10.009], [-1.430, 0.826, 10.009], [0.000, -1.651, 10.009]],
  "species": ["Zr", "Ag", "Ag", "Ir"],
  "frac_coords": [[0.000, 0.000, 0.000], [0.246, 0.246, 0.246], [0.754, 0.754, 0.754], [0.500, 0.500, 0.500]]
}



[5]
{
  "formula": "ZrAgIr2",
  "functional": "GGA-PBE",
  "state": "relaxed",
  "space_group": "I4/mmm (139)",
  "m_tot_mub_per_cell": 0.00,
  "dos_at_fermi_per_ev_atom": 1.01,
  "formation_enthalpy_0k_ev_per_atom": -0.297,
  "lattice": [[-2.074, 2.074, 3.901], [2.074, -2.074, 3.901], [2.074, 2.074, -3.901]],
  "species": ["Zr", "Ag", "Ir", "Ir"],
  "frac_coords": [[0.000, 0.000, 0.000], [0.500, 0.500, 0.000], [0.250, 0.750, 0.500], [0.750, 0.250, 0.500]]
}



[6]
{
  "formula": "ZrAgIr2",
  "functional": "GGA-PBE",
  "state": "relaxed",
  "space_group": "Cm (8)",
  "m_tot_mub_per_cell": 0.00,
  "dos_at_fermi_per_ev_atom": 0.82,
  "formation_enthalpy_0k_ev_per_atom": -0.162,
  "lattice": [[5.124, -1.462, 0.000], [5.124, 1.462, 0.000], [-1.422, 0.000, 4.600]],
  "species": ["Zr", "Ag", "Ir", "Ir"],
  "frac_coords": [[0.000, 0.000, 0.000], [0.208, 0.208, 0.635], [0.454, 0.454, 0.476], [0.754, 0.754, 0.155]]
}



[7]
{
  "formula": "ZrAg2Ir",
  "functional": "GGA-PBE",
  "state": "relaxed",
  "space_group": "Cmmm (65)",
  "m_tot_mub_per_cell": 0.00,
  "dos_at_fermi_per_ev_atom": 0.50,
  "formation_enthalpy_0k_ev_per_atom": 0.093,
  "lattice": [[2.713, -4.385, 0.000], [2.713, 4.385, 0.000], [0.000, 0.000, 2.992]],
  "species": ["Zr", "Ag", "Ag", "Ir"],
  "frac_coords": [[0.000, 0.000, 0.000], [0.000, 0.500, 0.500], [0.500, 0.000, 0.500], [0.500, 0.500, 0.000]]
}



[8]
{
  "formula": "Zr2AgIr",
  "functional": "GGA-PBE",
  "state": "relaxed",
  "space_group": "P4/mmm (123)",
  "m_tot_mub_per_cell": 0.00,
  "dos_at_fermi_per_ev_atom": 0.79,
  "formation_enthalpy_0k_ev_per_atom": -0.390,
  "lattice": [[4.777, 0.000, 0.000], [0.000, 4.777, 0.000], [0.000, 0.000, 3.346]],
  "species": ["Zr", "Zr", "Ag", "Ir"],
  "frac_coords": [[0.000, 0.500, 0.000], [0.500, 0.000, 0.000], [0.000, 0.000, 0.500], [0.500, 0.500, 0.500]]
}



[9]
{
  "formula": "ZrAgIr2",
  "functional": "GGA-PBE",
  "state": "relaxed",
  "space_group": "Pm (6)",
  "m_tot_mub_per_cell": 0.00,
  "dos_at_fermi_per_ev_atom": 0.99,
  "formation_enthalpy_0k_ev_per_atom": -0.149,
  "lattice": [[2.908, 0.000, 0.000], [0.000, 4.061, 0.000], [-0.012, 0.000, 5.689]],
  "species": ["Zr", "Ag", "Ir", "Ir"],
  "frac_coords": [[0.000, 0.000, 0.000], [0.501, 0.500, 0.278], [0.001, 0.000, 0.521], [0.502, 0.500, 0.760]]
}



[10]
{
  "formula": "ZrAg4Ir",
  "functional": "GGA-PBE",
  "state": "relaxed",
  "space_group": "F-43m (216)",
  "m_tot_mub_per_cell": 0.00,
  "dos_at_fermi_per_ev_atom": 0.68,
  "formation_enthalpy_0k_ev_per_atom": 0.198,
  "lattice": [[0.000, 3.775, 3.775], [3.775, 0.000, 3.775], [3.775, 3.775, 0.000]],
  "species": ["Zr", "Ag", "Ag", "Ag", "Ag", "Ir"],
  "frac_coords": [[0.000, 0.000, 0.000], [0.126, 0.625, 0.625], [0.625, 0.126, 0.625], [0.625, 0.625, 0.126], [0.625, 0.625, 0.625], [0.250, 0.250, 0.250]]
}



[11]
{
  "formula": "Zr2AgIr",
  "functional": "GGA-PBE",
  "state": "relaxed",
  "space_group": "P2/m (10)",
  "m_tot_mub_per_cell": 0.00,
  "dos_at_fermi_per_ev_atom": 1.04,
  "formation_enthalpy_0k_ev_per_atom": -0.081,
  "lattice": [[4.897, 0.000, 0.000], [0.000, 3.054, 0.000], [-1.606, 0.000, 5.337]],
  "species": ["Zr", "Zr", "Ag", "Ir"],
  "frac_coords": [[0.000, 0.000, 0.000], [0.500, 0.500, 0.500], [0.000, 0.000, 0.500], [0.500, 0.500, 0.000]]
}



[12]
{
  "formula": "ZrAg2Ir",
  "functional": "GGA-PBE",
  "state": "relaxed",
  "space_group": "Pmmm (47)",
  "m_tot_mub_per_cell": 0.00,
  "dos_at_fermi_per_ev_atom": 0.37,
  "formation_enthalpy_0k_ev_per_atom": -0.009,
  "lattice": [[2.929, 0.000, 0.000], [0.000, 4.455, 0.000], [0.000, 0.000, 5.417]],
  "species": ["Zr", "Ag", "Ag", "Ir"],
  "frac_coords": [[0.000, 0.000, 0.000], [0.500, 0.500, 0.256], [0.500, 0.500, 0.744], [0.000, 0.000, 0.500]]
}